{
  "formula": "Fe10O11F9",
  "functional": "PBE with a Hubbard U",
  "state": "optimized geometry",
  "e_above_lowest_polymorph_mev_per_atom": 91,
  "lattice_angstrom": [[-11.9434, -1.0632, -9.2860], [-2.8291, -0.5165, 3.6979], [-0.7105, 4.6017, 0.3870]],
  "species": ["Fe", "Fe", "Fe", "Fe", "Fe", "Fe", "Fe", "Fe", "Fe", "Fe", "O", "O", "O", "O", "O", "O", "O", "O", "O", "O", "O", "F", "F", "F", "F", "F", "F", "F", "F", "F"],
  "fractional_positions": [[0.6075, 0.0035, 0.0209], [0.3925, 0.0035, 0.0209], [0.1958, 0.0393, 0.9908], [0.0000, 0.9909, 0.0321], [0.8042, 0.0393, 0.9908], [0.5000, 0.5058, 0.5145], [0.1004, 0.4757, 0.4669], [0.3046, 0.4619, 0.4936], [0.8996, 0.4757, 0.4669], [0.6954, 0.4619, 0.4936], [0.2929, 0.1921, 0.1869], [0.0972, 0.1877, 0.1859], [0.9028, 0.1877, 0.1859], [0.7071, 0.1921, 0.1869], [0.5976, 0.2987, 0.7083], [0.4024, 0.2987, 0.7083], [0.1976, 0.3158, 0.6916], [0.8024, 0.3158, 0.6916], [0.6005, 0.6941, 0.3122], [0.3995, 0.6941, 0.3122], [0.0000, 0.6902, 0.3146], [0.5000, 0.1910, 0.2066], [0.0000, 0.2949, 0.7069], [0.1994, 0.7085, 0.2849], [0.8006, 0.7085, 0.2849], [0.5000, 0.8095, 0.8229], [0.0978, 0.8161, 0.8101], [0.2933, 0.8153, 0.7992], [0.7067, 0.8153, 0.7992], [0.9022, 0.8161, 0.8101]]
}